First-principles (GGA-PBE) data for MgBi2Pb8 after structural relaxation, as listed in Alexandria via LeMat-Bulk.

Lattice parameters (Å, degrees): 9.465 9.465 6.155 108.47 108.47 43.21
Element x y z (fractional)
Mg  0.000  0.000  0.000
Bi  0.162  0.162  0.879
Bi  0.838  0.838  0.121
Pb  0.185  0.660  0.591
Pb  0.248  0.248  0.463
Pb  0.340  0.815  0.409
Pb  0.368  0.368  0.059
Pb  0.632  0.632  0.941
Pb  0.660  0.185  0.591
Pb  0.752  0.752  0.537
Pb  0.815  0.340  0.409

Values from the calculation:
Symmetry = No. 12
V = 32.27 Å³/atom
ΔH_f (0 K) = 63 meV/atom
Uncorrected energy = -3.485 eV/atom
M_tot = 0.00 μB/cell

***

First-principles (GGA-PBE) data for SrSb2Os after structural relaxation, as listed in Alexandria via LeMat-Bulk.

Lattice parameters (Å, degrees): 3.408 3.408 8.033 90.00 90.00 90.00
Element x y z (fractional)
Sr  0.000  0.000  0.000
Sb  0.500  0.500  0.304
Sb  0.500  0.500  0.696
Os  0.000  0.000  0.500

Values from the calculation:
E_form (uncorrected) = 0.32 eV per formula unit
Symmetry = No. 123
V = 23.33 Å³/atom
Uncorrected energy = -5.209 eV/atom
M_tot = 0.20 μB/cell

***

First-principles (GGA-PBE) data for LiCe2Ni9 after structural relaxation, as listed in Alexandria via LeMat-Bulk.

Lattice parameters (Å, degrees): 8.584 8.584 8.584 33.16 33.16 33.16
Element x y z (fractional)
Li  0.000  0.000  0.000
Ce  0.133  0.133  0.133
Ce  0.867  0.867  0.867
Ni  0.080  0.582  0.582
Ni  0.333  0.333  0.333
Ni  0.418  0.418  0.920
Ni  0.418  0.920  0.418
Ni  0.500  0.500  0.500
Ni  0.582  0.080  0.582
Ni  0.582  0.582  0.080
Ni  0.667  0.667  0.667
Ni  0.920  0.418  0.418

Values from the calculation:
Symmetry = No. 166
V = 14.03 Å³/atom
ΔH_f (0 K) = -220 meV/atom
Uncorrected energy = -5.705 eV/atom
M_tot = 0.68 μB/cell

***

First-principles (GGA-PBE) data for Er2TmTh3S6 after structural relaxation, as listed in Alexandria via LeMat-Bulk.

Lattice parameters (Å, degrees): 9.006 9.006 8.063 107.32 107.32 24.87
Element x y z (fractional)
Er  0.167  0.167  0.333
Er  0.833  0.833  0.667
Tm  0.500  0.500  0.000
Th  0.167  0.167  0.833
Th  0.500  0.500  0.500
Th  0.833  0.833  0.167
S  0.005  0.005  0.237
S  0.329  0.329  0.428
S  0.339  0.339  0.906
S  0.661  0.661  0.094
S  0.671  0.671  0.572
S  0.995  0.995  0.763

Values from the calculation:
E_form (uncorrected) = -22.61 eV per formula unit
Symmetry = No. 12
V = 21.82 Å³/atom
Uncorrected energy = -6.936 eV/atom
M_tot = 0.00 μB/cell

***

First-principles (GGA-PBE) data for KSr2Cl after structural relaxation, as listed in Alexandria via LeMat-Bulk.

Lattice parameters (Å, degrees): 8.175 12.826 4.260 90.00 120.70 90.00
Element x y z (fractional)
K  0.000  0.000  0.000
K  0.500  0.500  0.000
Sr  0.250  0.250  0.500
Sr  0.250  0.750  0.500
Sr  0.750  0.250  0.500
Sr  0.750  0.750  0.500
Cl  0.000  0.500  0.000
Cl  0.500  0.000  0.000

Values from the calculation:
E_form (uncorrected) = -1.90 eV per formula unit
Symmetry = No. 12
V = 48.00 Å³/atom
Uncorrected energy = -2.052 eV/atom
M_tot = 0.00 μB/cell

***

First-principles (GGA-PBE) data for CsCa3Ti after structural relaxation, as listed in Alexandria via LeMat-Bulk.

Lattice parameters (Å, degrees): 5.778 5.778 5.778 90.00 90.00 90.00
Element x y z (fractional)
Cs  0.000  0.000  0.000
Ca  0.000  0.000  0.500
Ca  0.000  0.500  0.000
Ca  0.500  0.000  0.000
Ti  0.500  0.500  0.500

Values from the calculation:
Symmetry = No. 221
V = 38.58 Å³/atom
ΔH_f (0 K) = 1520 meV/atom
Uncorrected energy = -1.430 eV/atom
M_tot = 0.00 μB/cell

***

First-principles (GGA-PBE) data for Hf2BeV after structural relaxation, as listed in Alexandria via LeMat-Bulk.

Lattice parameters (Å, degrees): 2.970 2.970 28.135 90.00 90.00 120.00
Element x y z (fractional)
Hf  0.000  0.000  0.095
Hf  0.000  0.000  0.905
Hf  0.333  0.667  0.571
Hf  0.333  0.667  0.762
Hf  0.667  0.333  0.238
Hf  0.667  0.333  0.429
Be  0.000  0.000  0.500
Be  0.333  0.667  0.167
Be  0.667  0.333  0.833
V  0.000  0.000  0.000
V  0.333  0.667  0.667
V  0.667  0.333  0.333

Values from the calculation:
Symmetry = No. 166
V = 17.91 Å³/atom
ΔH_f (0 K) = 563 meV/atom
Uncorrected energy = -7.625 eV/atom
M_tot = 2.42 μB/cell

***

First-principles (GGA-PBE) data for CaSmHg4 after structural relaxation, as listed in Alexandria via LeMat-Bulk.

Lattice parameters (Å, degrees): 5.568 9.845 5.697 90.00 90.00 90.00
Element x y z (fractional)
Ca  0.000  0.000  0.000
Ca  0.000  0.500  0.500
Sm  0.500  0.000  0.501
Sm  0.500  0.500  0.001
Hg  0.000  0.169  0.499
Hg  0.000  0.331  0.999
Hg  0.000  0.669  0.999
Hg  0.000  0.831  0.499
Hg  0.500  0.169  0.001
Hg  0.500  0.331  0.501
Hg  0.500  0.669  0.501
Hg  0.500  0.831  0.001

Values from the calculation:
Symmetry = No. 38
V = 26.02 Å³/atom
ΔH_f (0 K) = -401 meV/atom
Uncorrected energy = -1.723 eV/atom
M_tot = 0.00 μB/cell